A plane-wave DFT calculation with GGA-PBE was carried out for a relaxed structure of Ta3PW.

Its offset from the most stable computed form is 1.111 eV per atom. The calculation puts the formation energy at 1.681 eV per atom.

The space group is Pm-3m (No. 221) and the conventional cell measures 4.869, 4.869 and 4.869 Å, with angles of 90.00, 90.00 and 90.00 degrees. The distinct sites, in fractional coordinates, are Ta at (0.000, 0.000, 0.500), P at (0.500, 0.500, 0.500) and W at (0.000, 0.000, 0.000).

---

A plane-wave DFT calculation with GGA-PBE was carried out for a relaxed structure of Na2SrSnPb2.

The calculation puts the formation energy at -0.294 eV per atom.

The space group is Pmc2_1 (No. 26) and the conventional cell measures 4.859, 9.704 and 8.244 Å, with angles of 90.00, 90.00 and 90.00 degrees. The distinct sites, in fractional coordinates, are Na at (0.000, 0.072, 0.000), Na at (0.500, 0.173, 0.318), Sr at (0.500, 0.442, 0.942), Sn at (0.000, 0.326, 0.612), Pb at (0.000, 0.368, 0.231) and Pb at (0.500, 0.145, 0.708).

---

A plane-wave DFT calculation with GGA-PBE was carried out for a relaxed structure of CsLa2Ag.

Its offset from the most stable computed form is 0.000 eV per atom. The calculation puts the formation energy at 0.353 eV per atom.

The space group is Fm-3m (No. 225) and the conventional cell measures 8.052, 8.052 and 8.052 Å, with angles of 90.00, 90.00 and 90.00 degrees. The distinct sites, in fractional coordinates, are Cs at (0.000, 0.000, 0.000), La at (0.250, 0.250, 0.250) and Ag at (0.000, 0.000, 0.500).

---

A plane-wave DFT calculation with GGA-PBE was carried out for a relaxed structure of CoSb2As.

The energy relative to the elements, uncorrected comes out at 117 meV per atom.

The space group is P4mm (No. 99) and the conventional cell measures 3.063, 3.063 and 8.877 Å, with angles of 90.00, 90.00 and 90.00 degrees. The distinct sites, in fractional coordinates, are Co at (0.000, 0.000, 0.000), Sb at (0.000, 0.000, 0.547), Sb at (0.500, 0.500, 0.197) and As at (0.500, 0.500, 0.854).

---

A plane-wave DFT calculation with GGA-PBE was carried out for a relaxed structure of Ba2NiHgCl.

The energy relative to the elements, uncorrected comes out at -410 meV per atom.

The space group is P4/mmm (No. 123) and the conventional cell measures 6.137, 6.137 and 4.442 Å, with angles of 90.00, 90.00 and 90.00 degrees. The distinct sites, in fractional coordinates, are Ba at (0.000, 0.500, 0.000), Ni at (0.000, 0.000, 0.000), Hg at (0.500, 0.500, 0.500) and Cl at (0.000, 0.000, 0.500).

---

A plane-wave DFT calculation with GGA-PBE was carried out for a relaxed structure of YTlIr3.

Its offset from the most stable computed form is 0.000 eV per atom. The calculation puts the formation energy at 1.329 eV per atom.

The space group is Pm-3m (No. 221) and the conventional cell measures 4.939, 4.939 and 4.939 Å, with angles of 90.00, 90.00 and 90.00 degrees. The distinct sites, in fractional coordinates, are Y at (0.000, 0.000, 0.000), Tl at (0.500, 0.500, 0.500) and Ir at (0.000, 0.500, 0.500).

---

A plane-wave DFT calculation with GGA-PBE was carried out for a relaxed structure of Mg2BeOs.

The calculation puts the formation energy at 0.298 eV per atom.

The space group is P2/m (No. 10) and the conventional cell measures 2.698, 4.272 and 5.264 Å, with angles of 90.00, 102.19 and 90.00 degrees. The distinct sites, in fractional coordinates, are Mg at (0.066, 0.000, 0.250), Be at (0.500, 0.500, 0.500) and Os at (0.500, 0.500, 0.000).

---

A plane-wave DFT calculation with GGA-PBE was carried out for a relaxed structure of DyErAg.

Its offset from the most stable computed form is 0.099 eV per atom. The calculation puts the formation energy at -0.105 eV per atom.

The space group is P4/nmm (No. 129, origin choice 2) and the conventional cell measures 4.706, 4.706 and 7.457 Å, with angles of 90.00, 90.00 and 90.00 degrees. The distinct sites, in fractional coordinates, are Dy at (0.250, 0.250, 0.133), Er at (0.250, 0.750, 0.500) and Ag at (0.250, 0.250, 0.750).

---

A plane-wave DFT calculation with GGA-PBE was carried out for a relaxed structure of Ca2CoAg.

Its offset from the most stable computed form is 0.304 eV per atom. The calculation puts the formation energy at 0.362 eV per atom.

The space group is I-42d (No. 122) and the conventional cell measures 7.738, 7.738 and 6.151 Å, with angles of 90.00, 90.00 and 90.00 degrees. The distinct sites, in fractional coordinates, are Ca at (0.213, 0.250, 0.125), Co at (0.000, 0.000, 0.000) and Ag at (0.000, 0.000, 0.500).

---

A plane-wave DFT calculation with GGA-PBE was carried out for a relaxed structure of YFe2Tc.

Its offset from the most stable computed form is 0.197 eV per atom. The calculation puts the formation energy at 0.315 eV per atom.

The space group is Imm2 (No. 44) and the conventional cell measures 3.076, 4.561 and 9.079 Å, with angles of 90.00, 90.00 and 90.00 degrees. The distinct sites, in fractional coordinates, are Y at (0.000, 0.000, 0.000), Fe at (0.000, 0.000, 0.500), Fe at (0.000, 0.500, 0.777) and Tc at (0.000, 0.500, 0.226).

---

A plane-wave DFT calculation with GGA-PBE was carried out for a relaxed structure of Dy2LuPb.

Its offset from the most stable computed form is 0.000 eV per atom. The calculation puts the formation energy at -0.258 eV per atom.

The space group is P4/mmm (No. 123) and the conventional cell measures 4.810, 4.810 and 4.859 Å, with angles of 90.00, 90.00 and 90.00 degrees. The distinct sites, in fractional coordinates, are Dy at (0.000, 0.500, 0.000), Lu at (0.000, 0.000, 0.500) and Pb at (0.500, 0.500, 0.500).

---

A plane-wave DFT calculation with GGA-PBE was carried out for a relaxed structure of SiH3Br.

The value obtained for the total energy is -3.64 eV/atom.

The space group is R-3 (No. 148, hexagonal axes) and the conventional cell measures 7.2935, 7.2935 and 12.3723 Å, with angles of 90.00, 90.00 and 120.00 degrees. The distinct sites, in fractional coordinates, are Si at (0.0000, 0.0000, 0.1660), H at (0.1084, 0.8845, 0.1284) and Br at (0.0000, 0.0000, 0.3467).

---

A plane-wave DFT calculation with GGA-PBE was carried out for a relaxed structure of Ce2ErIn3.

The calculation puts the formation energy at -0.390 eV per atom.

The space group is P4/mmm (No. 123) and the conventional cell measures 3.412, 3.412 and 13.835 Å, with angles of 90.00, 90.00 and 90.00 degrees. The distinct sites, in fractional coordinates, are Ce at (0.000, 0.000, 0.171), Er at (0.000, 0.000, 0.500), In at (0.500, 0.500, 0.000) and In at (0.500, 0.500, 0.341).

---

A plane-wave DFT calculation with GGA-PBE was carried out for a relaxed structure of RbLiAs2Br.

Its offset from the most stable computed form is 0.814 eV per atom. The energy relative to the elements, uncorrected comes out at 645 meV per atom.

The space group is P4/mmm (No. 123) and the conventional cell measures 6.570, 6.570 and 6.352 Å, with angles of 90.00, 90.00 and 90.00 degrees. The distinct sites, in fractional coordinates, are Rb at (0.000, 0.000, 0.000), Li at (0.500, 0.500, 0.500), As at (0.000, 0.500, 0.000) and Br at (0.000, 0.000, 0.500).

---

A plane-wave DFT calculation with GGA-PBE was carried out for a relaxed structure of NaTlV2Re.

The calculation puts the formation energy at 1.153 eV per atom.

The space group is P4/mmm (No. 123) and the conventional cell measures 4.661, 4.661 and 5.566 Å, with angles of 90.00, 90.00 and 90.00 degrees. The distinct sites, in fractional coordinates, are Na at (0.000, 0.000, 0.000), Tl at (0.500, 0.500, 0.000), V at (0.000, 0.500, 0.500) and Re at (0.000, 0.000, 0.500).

---

Sequential calculated volume output: 115.5 388.8 522.0 83.3 167.3 120.5 59.3 165.2 368.3 127.4 112.4 570.0 161.1 274.2 120.9 Å³/cell